The following is a PBE calculation of Ga2CuPIr after structural relaxation, from Alexandria.

a b c (Å): 4.7105 4.7105 4.8450
angles (deg): 90.00 90.00 90.00
With the nearest neighbours (Å) after each atom.
Space group P4/mmm (No. 123)
Symmetry-distinct sites (fractional):
Ga (0.0000, 0.5000, 0.0000) [2 per cell]  2 Ir 2.36
Cu (0.0000, 0.0000, 0.5000) [1 per cell]  2 Ir 2.42
P (0.5000, 0.5000, 0.5000) [1 per cell]  4 Cu 3.33, 8 Ga 3.38
Ir (0.0000, 0.0000, 0.0000) [1 per cell]  4 Ga 2.36, 2 Cu 2.42

Computed properties:
Fermi-level density of states	5.083	states/eV/cell
ΔE_f	599	meV/atom


The following is a PBE calculation of La2DyN after structural relaxation, from Alexandria.

a b c (Å): 3.6085 3.6085 29.6066
angles (deg): 90.00 90.00 120.00
With the nearest neighbours (Å) after each atom.
Space group R-3m (No. 166, hexagonal axes)
Symmetry-distinct sites (fractional):
La (0.0000, 0.0000, 0.1184) [6 per cell]  3 N 2.53
Dy (0.0000, 0.0000, 0.0000) [3 per cell]  2 La 3.51, 6 Dy 3.61
N (0.0000, 0.0000, 0.5000) [3 per cell]  6 La 2.53

Computed properties:
Fermi-level density of states	9.904	states/eV/cell
energy relative to the elements, uncorrected	-2.2	eV per formula unit


The following is a PBE calculation of Ca2AcIn4 after structural relaxation, from Alexandria.

a b c (Å): 3.9947 5.0006 21.3818
angles (deg): 90.00 90.00 90.00
With the nearest neighbours (Å) after each atom.
Space group Immm (No. 71)
Symmetry-distinct sites (fractional):
Ca (0.0000, 0.0000, 0.1944) [4 per cell]  7 In 3.31-3.34
Ac (0.0000, 0.5000, 0.0000) [2 per cell]  12 In 3.54-3.77
In (0.0000, 0.0000, 0.3503) [4 per cell]  2 In 3.02, 5 Ca 3.33-3.34
In (0.0000, 0.5000, 0.4293) [4 per cell]  3 In 3.02, 2 Ca 3.31

Computed properties:
Fermi-level density of states	8.066	states/eV/cell
ΔE_f	-442	meV/atom


The following is a PBE calculation of Pm3Al3Ru2 after structural relaxation, from Alexandria.

a b c (Å): 7.7328 15.4454 5.9476
angles (deg): 90.00 90.00 90.00
With the nearest neighbours (Å) after each atom.
Space group Pnma (No. 62)
Symmetry-distinct sites (fractional):
Pm (0.0346, 0.1069, 0.1020) [8 per cell]  2 Ru 2.89-3.09, 3 Al 3.16-3.23
Pm (0.1735, 0.2500, 0.6242) [4 per cell]  5 Al 3.01-3.33, 4 Ru 3.03-3.29
Al (0.1559, 0.0348, 0.5917) [8 per cell]  3 Ru 2.53-2.55
Al (0.1725, 0.7500, 0.6090) [4 per cell]  2 Ru 2.67
Ru (0.1384, 0.6056, 0.3661) [8 per cell]  4 Al 2.53-2.67

Computed properties:
Fermi-level density of states	24.093	states/eV/cell
ΔE_f	-476	meV/atom


The following is a PBE calculation of CoAsP2 after structural relaxation, from Alexandria.

a b c (Å): 3.9784 3.8298 4.5415
angles (deg): 90.00 99.63 90.00
With the nearest neighbours (Å) after each atom.
Space group Pm (No. 6)
Symmetry-distinct sites (fractional):
Co (0.0000, 0.0000, 0.0000) [1 per cell]  4 P 2.17-2.42
As (0.8021, 0.5000, 0.2618) [1 per cell]  2 P 2.36-2.52, 2 Co 2.45
P (0.2657, 0.5000, 0.9468) [1 per cell]  2 Co 2.22, 2 P 2.36, 1 As 2.36
P (0.4873, 0.0000, 0.7433) [1 per cell]  2 Co 2.17-2.42, 2 P 2.36

Computed properties:
Fermi-level density of states	1.404	states/eV/cell
ΔE_f	91	meV/atom


The following is a PBE calculation of Nd3YBi3 after structural relaxation, from Alexandria.

a b c (Å): 9.3477 9.3477 19.3180
angles (deg): 90.00 90.00 120.00
With the nearest neighbours (Å) after each atom.
Space group R-3 (No. 148, hexagonal axes)
Symmetry-distinct sites (fractional):
Nd (0.0036, 0.7422, 0.0850) [18 per cell]  5 Bi 3.21-3.43
Y (0.0000, 0.0000, 0.3327) [6 per cell]  6 Bi 3.25-3.31
Bi (0.0034, 0.6113, 0.9192) [18 per cell]  5 Nd 3.21-3.43, 2 Y 3.25-3.31

Computed properties:
Fermi-level density of states	31.108	states/eV/cell
ΔE_f	-726	meV/atom
E above lowest polymorph	8.4	kJ/mol of atoms


The following is a PBE calculation of SrLi8Ag2 after structural relaxation, from Alexandria.

a b c (Å): 5.7993 5.7993 18.9917
angles (deg): 90.00 90.00 90.00
With the nearest neighbours (Å) after each atom.
Space group I4/mmm (No. 139)
Symmetry-distinct sites (fractional):
Sr (0.0000, 0.0000, 0.0000) [2 per cell]  8 Li 3.66
Li (0.2478, 0.2478, 0.1603) [16 per cell]  2 Ag 2.67, 4 Li 2.87-2.93
Ag (0.0000, 0.5000, 0.2500) [4 per cell]  8 Li 2.67

Computed properties:
Fermi-level density of states	12.393	states/eV/cell
ΔE_f	132	meV/atom


The following is a PBE calculation of TaTe2Os after structural relaxation, from Alexandria.

a b c (Å): 3.3124 3.3124 27.3389
angles (deg): 90.00 90.00 120.00
With the nearest neighbours (Å) after each atom.
Space group R-3m (No. 166, hexagonal axes)
Symmetry-distinct sites (fractional):
Ta (0.0000, 0.0000, 0.0000) [3 per cell]  6 Te 2.79
Te (0.0000, 0.0000, 0.4075) [6 per cell]  1 Os 2.53, 3 Ta 2.79
Os (0.0000, 0.0000, 0.5000) [3 per cell]  2 Te 2.53

Computed properties:
Fermi-level density of states	11.695	states/eV/cell
E above lowest polymorph	61.6	kJ/mol of atoms
energy relative to the elements, uncorrected	2.7	eV per formula unit